## Ta2IrCl (PBE)

Data for crystalline Ta2IrCl at its relaxed geometry.

abc: 5.5885 5.5885 5.5885
angles: 141.00 141.00 56.33
Sites, in units of the cell vectors:
Ta (0.2500, 0.7500, 0.5000)
Ta (0.0000, 0.0000, 0.0000)
Ir (0.7500, 0.2500, 0.5000)
Cl (0.5000, 0.5000, 0.0000)

Values from the calculation:
VASP energy, eV per atom: -8.102
V, Å³/cell: 68.6



## TaIrCl2 (PBE)

Data for crystalline TaIrCl2 at its relaxed geometry.

abc: 7.0948 7.0948 4.5098
angles: 85.93 85.93 24.93
Sites, in units of the cell vectors:
Cl (0.1126, 0.1126, 0.9675)
Cl (0.3874, 0.3874, 0.5325)
Ir (0.2500, 0.2500, 0.2500)
Ta (0.7500, 0.7500, 0.7500)

Values from the calculation:
VASP energy, eV per atom: -6.297
V, Å³/cell: 95.4



## TaIrCl2 (PBE)

Data for crystalline TaIrCl2 at its relaxed geometry.

abc: 8.5262 8.5262 8.5262
angles: 20.61 20.61 20.61
Each line ends with the local moment (μB).
Sites, in units of the cell vectors:
Cl (0.0936, 0.0936, 0.0936)  0.00
Cl (0.9064, 0.9064, 0.9064)  0.00
Ir (0.0000, 0.0000, 0.0000)  0.43
Ta (0.5000, 0.5000, 0.5000)  0.02

Values from the calculation:
VASP energy, eV per atom: -5.979
V, Å³/cell: 67.2



## TaIrCl2 (PBE)

Data for crystalline TaIrCl2 at its relaxed geometry.

abc: 2.9845 5.0067 4.7470
angles: 90.00 90.00 90.00
Sites, in units of the cell vectors:
Ta (0.0000, 0.0000, 0.5000)
Ir (0.5000, 0.5000, 0.5000)
Cl (0.0000, 0.0000, 0.0000)
Cl (0.5000, 0.5000, 0.0000)

Values from the calculation:
VASP energy, eV per atom: -5.992
V, Å³/cell: 70.9



## TaIrCl3 (PBE)

Data for crystalline TaIrCl3 at its relaxed geometry.

abc: 4.7941 4.7941 4.7941
angles: 90.00 90.00 90.00
Each line ends with the local moment (μB).
Sites, in units of the cell vectors:
Cl (0.0000, 0.0000, 0.5000)  0.00
Cl (0.5000, 0.0000, 0.0000)  -0.04
Cl (0.0000, 0.5000, 0.0000)  -0.03
Ir (0.0000, 0.0000, 0.0000)  -0.16
Ta (0.5000, 0.5000, 0.5000)  2.33

Values from the calculation:
VASP energy, eV per atom: -4.213
V, Å³/cell: 110.2



## TaIrCl2 (PBE)

Data for crystalline TaIrCl2 at its relaxed geometry.

abc: 5.8951 5.8951 5.8951
angles: 147.70 116.73 72.84
Sites, in units of the cell vectors:
Ta (0.2775, 0.7775, 0.5000)
Cl (0.0645, 0.0645, 0.0000)
Cl (0.7018, 0.2018, 0.5000)
Ir (0.4561, 0.4561, 0.0000)

Values from the calculation:
VASP energy, eV per atom: -6.052
V, Å³/cell: 96.2